# 1
# GGA-PBE ZnCu2NiTe4, relaxed
# volume	25.81	A^3/atom
# SG	I-42m
# electronic total energy	-3.482	eV/atom
data_ZnCu2NiTe4
_chemical_formula_sum 'Zn1 Cu2 Ni1 Te4'
_cell_length_a 7.2122
_cell_length_b 7.2122
_cell_length_c 7.2122
_cell_angle_alpha 131.43
_cell_angle_beta 131.43
_cell_angle_gamma 71.14
_symmetry_space_group_name_H-M 'P 1'
_symmetry_Int_Tables_number 1
_symmetry_space_group_name_Hall 'P 1'
loop_
_atom_site_label
_atom_site_type_symbol
_atom_site_fract_x
_atom_site_fract_y
_atom_site_fract_z
Zn1 Zn 0.0000 0.0000 0.0000
Cu1 Cu 0.2500 0.7500 0.5000
Cu2 Cu 0.7500 0.2500 0.5000
Ni1 Ni 0.5000 0.5000 0.0000
Te1 Te 0.1384 0.6104 0.0000
Te2 Te 0.3896 0.3896 0.5280
Te3 Te 0.6104 0.1384 0.0000
Te4 Te 0.8616 0.8616 0.4720

---

# 2
# GGA-PBE TlCu2Ni, relaxed
# volume	14.31	A^3/atom
# SG	F-43m
# electronic total energy	-3.624	eV/atom
data_TlCu2Ni
_chemical_formula_sum 'Tl1 Cu2 Ni1'
_cell_length_a 4.3261
_cell_length_b 4.3261
_cell_length_c 4.3261
_cell_angle_alpha 60.00
_cell_angle_beta 60.00
_cell_angle_gamma 60.00
_symmetry_space_group_name_H-M 'P 1'
_symmetry_Int_Tables_number 1
_symmetry_space_group_name_Hall 'P 1'
loop_
_atom_site_label
_atom_site_type_symbol
_atom_site_fract_x
_atom_site_fract_y
_atom_site_fract_z
Tl1 Tl 0.0000 0.0000 0.0000
Cu1 Cu 0.5000 0.5000 0.5000
Cu2 Cu 0.7500 0.7500 0.7500
Ni1 Ni 0.2500 0.2500 0.2500

---

# 3
# GGA-PBE TlCuNiW, relaxed
# volume	15.62	A^3/atom
# distance to the lowest polymorph of the same formula	133	meV per atom
# SG	F-43m
data_TlCuNiW
_chemical_formula_sum 'Tl1 Cu1 Ni1 W1'
_cell_length_a 4.4539
_cell_length_b 4.4539
_cell_length_c 4.4539
_cell_angle_alpha 60.00
_cell_angle_beta 60.00
_cell_angle_gamma 60.00
_symmetry_space_group_name_H-M 'P 1'
_symmetry_Int_Tables_number 1
_symmetry_space_group_name_Hall 'P 1'
loop_
_atom_site_label
_atom_site_type_symbol
_atom_site_fract_x
_atom_site_fract_y
_atom_site_fract_z
Tl1 Tl 0.0000 0.0000 0.0000
Cu1 Cu 0.2500 0.2500 0.2500
Ni1 Ni 0.5000 0.5000 0.5000
W1 W 0.7500 0.7500 0.7500

---

# 4
# GGA-PBE TlCuNiW, relaxed
# volume	15.12	A^3/atom
# distance to the lowest polymorph of the same formula	0	meV per atom
# SG	F-43m
data_TlCuNiW
_chemical_formula_sum 'Tl1 Cu1 Ni1 W1'
_cell_length_a 4.4061
_cell_length_b 4.4061
_cell_length_c 4.4061
_cell_angle_alpha 60.00
_cell_angle_beta 60.00
_cell_angle_gamma 60.00
_symmetry_space_group_name_H-M 'P 1'
_symmetry_Int_Tables_number 1
_symmetry_space_group_name_Hall 'P 1'
loop_
_atom_site_label
_atom_site_type_symbol
_atom_site_fract_x
_atom_site_fract_y
_atom_site_fract_z
Tl1 Tl 0.0000 0.0000 0.0000
Cu1 Cu 0.2500 0.2500 0.2500
Ni1 Ni 0.7500 0.7500 0.7500
W1 W 0.5000 0.5000 0.5000

---

# 5
# GGA-PBE Y2TlCuNi, relaxed
# volume	21.36	A^3/atom
# SG	Amm2
# electronic total energy	-5.321	eV/atom
data_Y2TlCuNi
_chemical_formula_sum 'Y2 Tl1 Cu1 Ni1'
_cell_length_a 3.7330
_cell_length_b 7.4555
_cell_length_c 7.4555
_cell_angle_alpha 30.97
_cell_angle_beta 90.00
_cell_angle_gamma 90.00
_symmetry_space_group_name_H-M 'P 1'
_symmetry_Int_Tables_number 1
_symmetry_space_group_name_Hall 'P 1'
loop_
_atom_site_label
_atom_site_type_symbol
_atom_site_fract_x
_atom_site_fract_y
_atom_site_fract_z
Y1 Y 0.0000 0.0000 0.0000
Y2 Y 0.0000 0.2722 0.2722
Tl1 Tl 0.5000 0.6386 0.6386
Cu1 Cu 0.5000 0.4355 0.4355
Ni1 Ni 0.5000 0.8382 0.8382

---

# 6
# GGA-PBE Tm3Cu2Ni7, relaxed
# volume	14.24	A^3/atom
# E_form	-0.43	eV/atom
# SG	R-3m
data_Tm3Cu2Ni7
_chemical_formula_sum 'Tm3 Cu2 Ni7'
_cell_length_a 8.5137
_cell_length_b 8.5137
_cell_length_c 8.5137
_cell_angle_alpha 33.87
_cell_angle_beta 33.87
_cell_angle_gamma 33.87
_symmetry_space_group_name_H-M 'P 1'
_symmetry_Int_Tables_number 1
_symmetry_space_group_name_Hall 'P 1'
loop_
_atom_site_label
_atom_site_type_symbol
_atom_site_fract_x
_atom_site_fract_y
_atom_site_fract_z
Tm1 Tm 0.0000 0.0000 0.0000
Tm2 Tm 0.1392 0.1392 0.1392
Tm3 Tm 0.8608 0.8608 0.8608
Cu1 Cu 0.3337 0.3337 0.3337
Cu2 Cu 0.6663 0.6663 0.6663
Ni1 Ni 0.0811 0.5849 0.5849
Ni2 Ni 0.4151 0.4151 0.9189
Ni3 Ni 0.4151 0.9189 0.4151
Ni4 Ni 0.5000 0.5000 0.5000
Ni5 Ni 0.5849 0.0811 0.5849
Ni6 Ni 0.5849 0.5849 0.0811
Ni7 Ni 0.9189 0.4151 0.4151

---

# 7
# GGA-PBE TmCuNi, relaxed
# volume	18.25	A^3/atom
# E_form	-0.15	eV/atom
# SG	F-43m
data_TmCuNi
_chemical_formula_sum 'Tm1 Cu1 Ni1'
_cell_length_a 4.2625
_cell_length_b 4.2625
_cell_length_c 4.2625
_cell_angle_alpha 60.00
_cell_angle_beta 60.00
_cell_angle_gamma 60.00
_symmetry_space_group_name_H-M 'P 1'
_symmetry_Int_Tables_number 1
_symmetry_space_group_name_Hall 'P 1'
loop_
_atom_site_label
_atom_site_type_symbol
_atom_site_fract_x
_atom_site_fract_y
_atom_site_fract_z
Tm1 Tm 0.0000 0.0000 0.0000
Cu1 Cu 0.5000 0.5000 0.5000
Ni1 Ni 0.7500 0.7500 0.7500

---

# 8
# GGA-PBE TmCuNi, relaxed
# volume	19.95	A^3/atom
# E_form	0.31	eV/atom
# SG	F-43m
data_TmCuNi
_chemical_formula_sum 'Tm1 Cu1 Ni1'
_cell_length_a 4.3906
_cell_length_b 4.3906
_cell_length_c 4.3906
_cell_angle_alpha 60.00
_cell_angle_beta 60.00
_cell_angle_gamma 60.00
_symmetry_space_group_name_H-M 'P 1'
_symmetry_Int_Tables_number 1
_symmetry_space_group_name_Hall 'P 1'
loop_
_atom_site_label
_atom_site_type_symbol
_atom_site_fract_x
_atom_site_fract_y
_atom_site_fract_z
Tm1 Tm 0.0000 0.0000 0.0000
Cu1 Cu 0.7500 0.7500 0.7500
Ni1 Ni 0.2500 0.2500 0.2500

---

# 9
# GGA-PBE Tm2CuNi, relaxed
# volume	19.72	A^3/atom
# E_form	-0.41	eV/atom
# SG	P2_1/m
data_Tm2CuNi
_chemical_formula_sum 'Tm4 Cu2 Ni2'
_cell_length_a 5.3445
_cell_length_b 4.3298
_cell_length_c 7.2529
_cell_angle_alpha 90.00
_cell_angle_beta 109.96
_cell_angle_gamma 90.00
_symmetry_space_group_name_H-M 'P 1'
_symmetry_Int_Tables_number 1
_symmetry_space_group_name_Hall 'P 1'
loop_
_atom_site_label
_atom_site_type_symbol
_atom_site_fract_x
_atom_site_fract_y
_atom_site_fract_z
Tm1 Tm 0.2159 0.2500 0.4321
Tm2 Tm 0.2252 0.2500 0.9284
Tm3 Tm 0.7748 0.7500 0.0716
Tm4 Tm 0.7841 0.7500 0.5679
Cu1 Cu 0.3487 0.7500 0.2136
Cu2 Cu 0.6513 0.2500 0.7864
Ni1 Ni 0.3536 0.7500 0.7136
Ni2 Ni 0.6464 0.2500 0.2864

---

# 10
# GGA-PBE Tm3Zn3CuNi2, relaxed
# volume	17.42	A^3/atom
# E_form	-0.45	eV/atom
# SG	P-62m
data_Tm3Zn3CuNi2
_chemical_formula_sum 'Tm3 Zn3 Cu1 Ni2'
_cell_length_a 7.0008
_cell_length_b 7.0008
_cell_length_c 3.6936
_cell_angle_alpha 90.00
_cell_angle_beta 90.00
_cell_angle_gamma 120.00
_symmetry_space_group_name_H-M 'P 1'
_symmetry_Int_Tables_number 1
_symmetry_space_group_name_Hall 'P 1'
loop_
_atom_site_label
_atom_site_type_symbol
_atom_site_fract_x
_atom_site_fract_y
_atom_site_fract_z
Tm1 Tm 0.0000 0.4148 0.0000
Tm2 Tm 0.4148 0.0000 0.0000
Tm3 Tm 0.5852 0.5852 0.0000
Zn1 Zn 0.0000 0.7495 0.5000
Zn2 Zn 0.2505 0.2505 0.5000
Zn3 Zn 0.7495 0.0000 0.5000
Cu1 Cu 0.0000 0.0000 0.0000
Ni1 Ni 0.3333 0.6667 0.5000
Ni2 Ni 0.6667 0.3333 0.5000

---

# 11
# GGA-PBE Tm3Zn3Cu2Ni, relaxed
# volume	17.79	A^3/atom
# E_form	-0.38	eV/atom
# SG	P-62m
data_Tm3Zn3Cu2Ni
_chemical_formula_sum 'Tm3 Zn3 Cu2 Ni1'
_cell_length_a 6.9791
_cell_length_b 6.9791
_cell_length_c 3.7952
_cell_angle_alpha 90.00
_cell_angle_beta 90.00
_cell_angle_gamma 120.00
_symmetry_space_group_name_H-M 'P 1'
_symmetry_Int_Tables_number 1
_symmetry_space_group_name_Hall 'P 1'
loop_
_atom_site_label
_atom_site_type_symbol
_atom_site_fract_x
_atom_site_fract_y
_atom_site_fract_z
Tm1 Tm 0.0000 0.4045 0.0000
Tm2 Tm 0.4045 0.0000 0.0000
Tm3 Tm 0.5955 0.5955 0.0000
Zn1 Zn 0.0000 0.7583 0.5000
Zn2 Zn 0.2417 0.2417 0.5000
Zn3 Zn 0.7583 0.0000 0.5000
Cu1 Cu 0.3333 0.6667 0.5000
Cu2 Cu 0.6667 0.3333 0.5000
Ni1 Ni 0.0000 0.0000 0.0000

---

# 12
# GGA-PBE Y2Cu5Ni12, relaxed
# volume	12.77	A^3/atom
# E_form	-0.17	eV/atom
# SG	P6_3/mmc
data_Y2Cu5Ni12
_chemical_formula_sum 'Y4 Cu10 Ni24'
_cell_length_a 8.3229
_cell_length_b 8.3229
_cell_length_c 8.0902
_cell_angle_alpha 90.00
_cell_angle_beta 90.00
_cell_angle_gamma 120.00
_symmetry_space_group_name_H-M 'P 1'
_symmetry_Int_Tables_number 1
_symmetry_space_group_name_Hall 'P 1'
loop_
_atom_site_label
_atom_site_type_symbol
_atom_site_fract_x
_atom_site_fract_y
_atom_site_fract_z
Y1 Y 0.0000 0.0000 0.2500
Y2 Y 0.0000 0.0000 0.7500
Y3 Y 0.3333 0.6667 0.2500
Y4 Y 0.6667 0.3333 0.7500
Cu1 Cu 0.0000 0.5000 0.0000
Cu2 Cu 0.0000 0.5000 0.5000
Cu3 Cu 0.3333 0.6667 0.6041
Cu4 Cu 0.3333 0.6667 0.8959
Cu5 Cu 0.5000 0.0000 0.0000
Cu6 Cu 0.5000 0.0000 0.5000
Cu7 Cu 0.5000 0.5000 0.0000
Cu8 Cu 0.5000 0.5000 0.5000
Cu9 Cu 0.6667 0.3333 0.1041
Cu10 Cu 0.6667 0.3333 0.3959
Ni1 Ni 0.0403 0.3663 0.7500
Ni2 Ni 0.0403 0.6740 0.7500
Ni3 Ni 0.1644 0.3288 0.0210
Ni4 Ni 0.1644 0.3288 0.4790
Ni5 Ni 0.1644 0.8356 0.0210
Ni6 Ni 0.1644 0.8356 0.4790
Ni7 Ni 0.3260 0.3663 0.7500
Ni8 Ni 0.3260 0.9597 0.7500
Ni9 Ni 0.3288 0.1644 0.5210
Ni10 Ni 0.3288 0.1644 0.9790
Ni11 Ni 0.3663 0.0403 0.2500
Ni12 Ni 0.3663 0.3260 0.2500
Ni13 Ni 0.6337 0.6740 0.7500
Ni14 Ni 0.6337 0.9597 0.7500
Ni15 Ni 0.6712 0.8356 0.0210
Ni16 Ni 0.6712 0.8356 0.4790
Ni17 Ni 0.6740 0.0403 0.2500
Ni18 Ni 0.6740 0.6337 0.2500
Ni19 Ni 0.8356 0.1644 0.5210
Ni20 Ni 0.8356 0.1644 0.9790
Ni21 Ni 0.8356 0.6712 0.5210
Ni22 Ni 0.8356 0.6712 0.9790
Ni23 Ni 0.9597 0.3260 0.2500
Ni24 Ni 0.9597 0.6337 0.2500

---

The density results, record by record, are as follows: 6.12 11.32 13.57 14.01 7.84 10.15 8.83 8.08 9.69 9.36 9.22 8.21 g/cm³.